# 1
A geometry-optimized YSbSeBr2 structure. Source: Alexandria via LeMat-Bulk, functional PBE.

For the raw formation energy, the calculation gives -709 meV/atom. For the energy, the calculation gives -21.0 eV/cell. The crystal system is tetragonal. The volume is 172 Å³ per cell. For the excess energy over the best structure of this formula in the dataset, the calculation gives 0.0000 eV/atom.

The space group is P4/mmm (No. 123) and the conventional cell measures 5.486, 5.486 and 5.721 Å, with angles of 90.00, 90.00 and 90.00 degrees. The distinct sites, in fractional coordinates, are Y at (0.000, 0.000, 0.000), Sb at (0.500, 0.500, 0.500), Se at (0.000, 0.000, 0.500) and Br at (0.000, 0.500, 0.000).

# 2
A geometry-optimized ZnSbSeBr2 structure. Source: Alexandria via LeMat-Bulk, functional PBE.

For the raw formation energy, the calculation gives 51 meV/atom. For the energy, the calculation gives -12.0 eV/cell. The crystal system is tetragonal. The volume is 169 Å³ per cell. For the excess energy over the best structure of this formula in the dataset, the calculation gives 0.0456 eV/atom.

The space group is P4/mmm (No. 123) and the conventional cell measures 5.617, 5.617 and 5.356 Å, with angles of 90.00, 90.00 and 90.00 degrees. The distinct sites, in fractional coordinates, are Zn at (0.000, 0.000, 0.000), Sb at (0.500, 0.500, 0.500), Se at (0.500, 0.500, 0.000) and Br at (0.000, 0.500, 0.500).

# 3
A geometry-optimized ZnSbSeBr2 structure. Source: Alexandria via LeMat-Bulk, functional PBE.

For the raw formation energy, the calculation gives 5 meV/atom. For the energy, the calculation gives -12.2 eV/cell. The crystal system is tetragonal. The volume is 130 Å³ per cell. For the excess energy over the best structure of this formula in the dataset, the calculation gives 0.0000 eV/atom.

The space group is P4/mmm (No. 123) and the conventional cell measures 4.973, 4.973 and 5.258 Å, with angles of 90.00, 90.00 and 90.00 degrees. The distinct sites, in fractional coordinates, are Zn at (0.000, 0.000, 0.000), Sb at (0.500, 0.500, 0.500), Se at (0.000, 0.000, 0.500) and Br at (0.000, 0.500, 0.000).

# 4
A geometry-optimized ZrSbSeBr2 structure. Source: Alexandria via LeMat-Bulk, functional PBE.

For the raw formation energy, the calculation gives -343 meV/atom. For the energy, the calculation gives -21.2 eV/cell. The crystal system is tetragonal. The volume is 154 Å³ per cell. For the excess energy over the best structure of this formula in the dataset, the calculation gives 0.0000 eV/atom.

The space group is P4/mmm (No. 123) and the conventional cell measures 5.398, 5.398 and 5.300 Å, with angles of 90.00, 90.00 and 90.00 degrees. The distinct sites, in fractional coordinates, are Zr at (0.000, 0.000, 0.000), Sb at (0.500, 0.500, 0.500), Se at (0.000, 0.000, 0.500) and Br at (0.000, 0.500, 0.000).

# 5
A geometry-optimized ZrSbSe2Br structure. Source: Alexandria via LeMat-Bulk, functional PBE.

For the raw formation energy, the calculation gives -325 meV/atom. For the energy, the calculation gives -22.9 eV/cell. The crystal system is tetragonal. The volume is 144 Å³ per cell. For the excess energy over the best structure of this formula in the dataset, the calculation gives 0.0000 eV/atom.

The space group is P4/mmm (No. 123) and the conventional cell measures 5.261, 5.261 and 5.209 Å, with angles of 90.00, 90.00 and 90.00 degrees. The distinct sites, in fractional coordinates, are Zr at (0.000, 0.000, 0.000), Sb at (0.500, 0.500, 0.500), Se at (0.000, 0.500, 0.000) and Br at (0.000, 0.000, 0.500).

# 6
A geometry-optimized ZrSbSeBr2 structure. Source: Alexandria via LeMat-Bulk, functional PBE.

For the raw formation energy, the calculation gives 429 meV/atom. For the energy, the calculation gives -17.4 eV/cell. The crystal system is tetragonal. The volume is 168 Å³ per cell. For the excess energy over the best structure of this formula in the dataset, the calculation gives 0.7721 eV/atom.

The space group is P4/mmm (No. 123) and the conventional cell measures 5.505, 5.505 and 5.530 Å, with angles of 90.00, 90.00 and 90.00 degrees. The distinct sites, in fractional coordinates, are Zr at (0.000, 0.000, 0.000), Sb at (0.500, 0.500, 0.500), Se at (0.500, 0.500, 0.000) and Br at (0.000, 0.500, 0.500).

# 7
A geometry-optimized ZrSbSe2Br structure. Source: Alexandria via LeMat-Bulk, functional PBE.

For the raw formation energy, the calculation gives 413 meV/atom. For the energy, the calculation gives -19.2 eV/cell. The crystal system is tetragonal. The volume is 154 Å³ per cell. For the excess energy over the best structure of this formula in the dataset, the calculation gives 0.7381 eV/atom.

The space group is P4/mmm (No. 123) and the conventional cell measures 5.382, 5.382 and 5.321 Å, with angles of 90.00, 90.00 and 90.00 degrees. The distinct sites, in fractional coordinates, are Zr at (0.000, 0.000, 0.000), Sb at (0.500, 0.500, 0.500), Se at (0.000, 0.500, 0.500) and Br at (0.500, 0.500, 0.000).

# 8
A geometry-optimized Si2SbBr structure. Source: Alexandria via LeMat-Bulk, functional PBE.

For the raw formation energy, the calculation gives 655 meV/atom. For the energy, the calculation gives -14.0 eV/cell. The crystal system is orthorhombic. The volume is 87 Å³ per cell. For the excess energy over the best structure of this formula in the dataset, the calculation gives 0.6114 eV/atom.

The space group is Pmmm (No. 47) and the conventional cell measures 3.296, 5.124 and 5.140 Å, with angles of 90.00, 90.00 and 90.00 degrees. The distinct sites, in fractional coordinates, are Si at (0.000, 0.000, 0.000), Si at (0.500, 0.500, 0.000), Sb at (0.000, 0.500, 0.500) and Br at (0.500, 0.000, 0.500).

# 9
A geometry-optimized SiSbBr2 structure. Source: Alexandria via LeMat-Bulk, functional PBE.

For the raw formation energy, the calculation gives -229 meV/atom. For the energy, the calculation gives -13.8 eV/cell. The crystal system is monoclinic. The volume is 135 Å³ per cell. For the excess energy over the best structure of this formula in the dataset, the calculation gives 0.0000 eV/atom.

The space group is Pm (No. 6) and the conventional cell measures 4.014, 3.983 and 8.462 Å, with angles of 90.00, 90.54 and 90.00 degrees. The distinct sites, in fractional coordinates, are Si at (0.000, 0.000, 0.000), Sb at (0.499, 0.500, 0.957), Br at (0.011, 0.000, 0.270) and Br at (0.500, 0.500, 0.659).

# 10
A geometry-optimized SiSbBr2 structure. Source: Alexandria via LeMat-Bulk, functional PBE.

For the raw formation energy, the calculation gives 151 meV/atom. For the energy, the calculation gives -24.6 eV/cell. The crystal system is orthorhombic. The volume is 244 Å³ per cell. For the excess energy over the best structure of this formula in the dataset, the calculation gives 0.3799 eV/atom.

The space group is Imm2 (No. 44) and the conventional cell measures 3.518, 4.712 and 14.703 Å, with angles of 90.00, 90.00 and 90.00 degrees. The distinct sites, in fractional coordinates, are Si at (0.000, 0.000, 0.000), Sb at (0.000, 0.500, 0.344), Br at (0.000, 0.000, 0.527) and Br at (0.000, 0.500, 0.787).

# 11
A geometry-optimized Si2SbBr structure. Source: Alexandria via LeMat-Bulk, functional PBE.

For the raw formation energy, the calculation gives 134 meV/atom. For the energy, the calculation gives -16.1 eV/cell. The crystal system is monoclinic. The volume is 113 Å³ per cell. For the excess energy over the best structure of this formula in the dataset, the calculation gives 0.0903 eV/atom.

The space group is Pm (No. 6) and the conventional cell measures 4.393, 3.891 and 6.942 Å, with angles of 90.00, 107.34 and 90.00 degrees. The distinct sites, in fractional coordinates, are Si at (0.000, 0.000, 0.000), Si at (0.339, 0.500, 0.048), Sb at (0.723, 0.000, 0.285) and Br at (0.455, 0.500, 0.740).

# 12
A geometry-optimized Si2SbBr structure. Source: Alexandria via LeMat-Bulk, functional PBE.

For the raw formation energy, the calculation gives 44 meV/atom. For the energy, the calculation gives -16.5 eV/cell. The crystal system is tetragonal. The volume is 104 Å³ per cell. For the excess energy over the best structure of this formula in the dataset, the calculation gives 0.0000 eV/atom.

The space group is P4mm (No. 99) and the conventional cell measures 3.401, 3.401 and 8.950 Å, with angles of 90.00, 90.00 and 90.00 degrees. The distinct sites, in fractional coordinates, are Si at (0.000, 0.000, 0.000), Si at (0.500, 0.500, 0.073), Sb at (0.000, 0.000, 0.710) and Br at (0.500, 0.500, 0.325).